No. 1
Entry from the Alexandria database: Na2CrCdHg after structural relaxation (PBE).

The structure in POSCAR format:
```
Na2CrCdHg
1.0
5.6635 0.0000 0.0000
0.0000 5.3237 0.0000
0.0000 0.0000 5.6635
Cd Na Cr Hg
1 2 1 1
Direct
0.0000 0.0000 0.0000
0.0000 0.0000 0.5000
0.5000 0.0000 0.0000
0.5000 0.5000 0.5000
0.0000 0.5000 0.0000
```

Properties
Its density of states at the Fermi level is 2.6 states/eV/f.u. The calculated formation energy comes out at 64.6 kJ/mol of atoms.


No. 2
Entry from the Alexandria database: NaSmCdCl6 after structural relaxation (PBE).

The structure in POSCAR format:
```
NaSmCdCl6
1.0
6.8961 0.0000 0.0000
-3.4481 5.9722 0.0000
0.0000 0.0000 12.5757
Cl Cd Sm Na
12 2 2 2
Direct
0.0052 0.6508 0.8700
0.3544 0.3492 0.3700
0.0052 0.3544 0.6300
0.9948 0.3492 0.1300
0.9948 0.6456 0.3700
0.6508 0.6456 0.1300
0.6508 0.0052 0.3700
0.3544 0.0052 0.1300
0.3492 0.3544 0.8700
0.3492 0.9948 0.6300
0.6456 0.9948 0.8700
0.6456 0.6508 0.6300
0.3333 0.6667 0.7500
0.6667 0.3333 0.2500
0.3333 0.6667 0.2500
0.6667 0.3333 0.7500
0.0000 0.0000 0.0000
0.0000 0.0000 0.5000
```

Properties
Its density of states at the Fermi level is 0.0 states/eV/f.u. Its uncorrected formation energy is -1.767 eV per atom.


No. 3
Entry from the Alexandria database: TiFeCuSn after structural relaxation (PBE).

The structure in POSCAR format:
```
TiFeCuSn
1.0
-0.8025 1.1486 -4.1558
-2.1277 -2.7574 -2.6653
-4.0982 0.9048 -1.2727
Cu Ti Fe Sn
1 1 1 1
Direct
0.5000 0.5000 0.5000
0.2500 0.2500 0.2500
0.0000 0.0000 0.0000
0.7500 0.7500 0.7500
```

Properties
Its density of states at the Fermi level is 2.2 states/eV/f.u. The calculated formation energy comes out at -12.5 kJ/mol of atoms.